Density functional theory data (PBE-GGA) for an optimized crystal structure of LaSnPt4.

Cell and atoms, written as CIF:
```
data_LaSnPt4
_chemical_formula_sum 'La4 Sn4 Pt16'
_space_group_name_H-M_alt 'F -4 3 m'
_space_group_IT_number 216
_space_group_name_Hall 'F -4 2 3'
_cell_length_a 7.7565
_cell_length_b 7.7565
_cell_length_c 7.7565
_cell_angle_alpha 90.00
_cell_angle_beta 90.00
_cell_angle_gamma 90.00
loop_
_atom_site_label
_atom_site_type_symbol
_atom_site_fract_x
_atom_site_fract_y
_atom_site_fract_z
_atom_site_occupancy
La1 La 0.0000 0.0000 0.0000 1
Sn1 Sn 0.2500 0.2500 0.7500 1
Pt1 Pt 0.1246 0.1246 0.3754 1
```

Properties
Energy of formation from the pure elements = -782 meV/atom
Total magnetic moment = 0.0 μB per cell
Crystal system = cubic
V = 466.7 Å³/cell

---

Density functional theory data (PBE-GGA) for an optimized crystal structure of RbYSc2Ge.

Cell and atoms, written as CIF:
```
data_RbYSc2Ge
_chemical_formula_sum 'Rb1 Y1 Sc2 Ge1'
_space_group_name_H-M_alt 'P 4/m m m'
_space_group_IT_number 123
_space_group_name_Hall '-P 4 2'
_cell_length_a 4.9670
_cell_length_b 4.9670
_cell_length_c 5.7533
_cell_angle_alpha 90.00
_cell_angle_beta 90.00
_cell_angle_gamma 90.00
loop_
_atom_site_label
_atom_site_type_symbol
_atom_site_fract_x
_atom_site_fract_y
_atom_site_fract_z
_atom_site_occupancy
Rb1 Rb 0.0000 0.0000 0.0000 1
Y1 Y 0.5000 0.5000 0.5000 1
Sc1 Sc 0.0000 0.5000 0.0000 1
Ge1 Ge 0.0000 0.0000 0.5000 1
```

Properties
Energy of formation from the pure elements = 1220 meV/atom
Total magnetic moment = 0.0 μB per cell
Crystal system = tetragonal
V = 141.9 Å³/cell

---

Density functional theory data (PBE-GGA) for an optimized crystal structure of CuNiRh3.

Cell and atoms, written as CIF:
```
data_CuNiRh3
_chemical_formula_sum 'Cu1 Ni1 Rh3'
_space_group_name_H-M_alt 'P m -3 m'
_space_group_IT_number 221
_space_group_name_Hall '-P 4 2 3'
_cell_length_a 4.4481
_cell_length_b 4.4481
_cell_length_c 4.4481
_cell_angle_alpha 90.00
_cell_angle_beta 90.00
_cell_angle_gamma 90.00
loop_
_atom_site_label
_atom_site_type_symbol
_atom_site_fract_x
_atom_site_fract_y
_atom_site_fract_z
_atom_site_occupancy
Cu1 Cu 0.0000 0.0000 0.0000 1
Ni1 Ni 0.5000 0.5000 0.5000 1
Rh1 Rh 0.0000 0.5000 0.5000 1
```

Properties
Energy of formation from the pure elements = 1223 meV/atom
Total magnetic moment = 3.3 μB per cell
Crystal system = cubic
V = 88.0 Å³/cell

---

Density functional theory data (PBE-GGA) for an optimized crystal structure of Pm3Nd5Sm4.

Cell and atoms, written as CIF:
```
data_Pm3Nd5Sm4
_chemical_formula_sum 'Pm6 Nd10 Sm8'
_space_group_name_H-M_alt 'C 1 2/m 1'
_space_group_IT_number 12
_cell_length_a 16.4109
_cell_length_b 6.0670
_cell_length_c 9.4464
_cell_angle_alpha 90.00
_cell_angle_beta 116.04
_cell_angle_gamma 90.00
loop_
_space_group_symop_operation_xyz
'x,y,z'
'-x,-y,-z'
'-x,y,-z'
'x,-y,z'
'x+1/2,y+1/2,z'
'-x+1/2,-y+1/2,-z'
'-x+1/2,y+1/2,-z'
'x+1/2,-y+1/2,z'
loop_
_atom_site_label
_atom_site_type_symbol
_atom_site_fract_x
_atom_site_fract_y
_atom_site_fract_z
_atom_site_occupancy
Pm1 Pm 0.0000 0.0000 0.0000 1
Pm2 Pm 0.2081 0.5000 0.2267 1
Nd1 Nd 0.0000 0.5000 0.0000 1
Nd2 Nd 0.0748 0.0000 0.6992 1
Nd3 Nd 0.1730 0.0000 0.3880 1
Sm1 Sm 0.0822 0.5000 0.4416 1
Sm2 Sm 0.2134 0.5000 0.8780 1
```

Properties
Energy of formation from the pure elements = 202 meV/atom
Total magnetic moment = 0.0 μB per cell
Crystal system = monoclinic
V = 845.1 Å³/cell

---

Density functional theory data (PBE-GGA) for an optimized crystal structure of Dy7HoTm3.

Cell and atoms, written as CIF:
```
data_Dy7HoTm3
_chemical_formula_sum 'Dy7 Ho1 Tm3'
_space_group_name_H-M_alt 'P 3 m 1'
_space_group_IT_number 156
_cell_length_a 6.9939
_cell_length_b 6.9939
_cell_length_c 8.4925
_cell_angle_alpha 90.00
_cell_angle_beta 90.00
_cell_angle_gamma 120.00
loop_
_space_group_symop_operation_xyz
'x,y,z'
'-y,x-y,z'
'-x+y,-x,z'
'-y,-x,z'
'-x+y,y,z'
'x,x-y,z'
loop_
_atom_site_label
_atom_site_type_symbol
_atom_site_fract_x
_atom_site_fract_y
_atom_site_fract_z
_atom_site_occupancy
Dy1 Dy 0.0000 0.0000 0.0000 1
Dy2 Dy 0.1653 0.3307 0.3309 1
Dy3 Dy 0.5013 0.0025 0.9944 1
Ho1 Ho 0.6667 0.3333 0.3254 1
Tm1 Tm 0.3334 0.1667 0.6625 1
```

Properties
Energy of formation from the pure elements = 194 meV/atom
Total magnetic moment = 0.0 μB per cell
Crystal system = trigonal
V = 359.7 Å³/cell

---

Density functional theory data (PBE-GGA) for an optimized crystal structure of KNa2VCl6.

Cell and atoms, written as CIF:
```
data_KNa2VCl6
_chemical_formula_sum 'K1 Na2 V1 Cl6'
_space_group_name_H-M_alt 'P 1'
_space_group_IT_number 1
_cell_length_a 6.9964
_cell_length_b 7.0007
_cell_length_c 7.4906
_cell_angle_alpha 90.03
_cell_angle_beta 117.82
_cell_angle_gamma 119.96
loop_
_space_group_symop_operation_xyz
'x,y,z'
loop_
_atom_site_label
_atom_site_type_symbol
_atom_site_fract_x
_atom_site_fract_y
_atom_site_fract_z
_atom_site_occupancy
K1 K 0.0000 0.0000 0.0000 1
Na1 Na 0.5760 0.2882 0.8636 1
Na2 Na 0.6076 0.8044 0.4111 1
V1 V 0.9682 0.4843 0.4521 1
Cl1 Cl 0.0965 0.4296 0.2195 1
Cl2 Cl 0.1013 0.2634 0.6642 1
Cl3 Cl 0.4010 0.8383 0.6642 1
Cl4 Cl 0.5529 0.1238 0.2193 1
Cl5 Cl 0.7901 0.6669 0.2193 1
Cl6 Cl 0.8259 0.5632 0.6641 1
```

Properties
Raw formation energy = -1583.2 meV per atom
Total magnetic moment = 2.0 μB per cell
Crystal system = triclinic
V = 267.7 Å³/cell

---

Density functional theory data (PBE-GGA) for an optimized crystal structure of LiCeHo4S8.

Cell and atoms, written as CIF:
```
data_LiCeHo4S8
_chemical_formula_sum 'Li3 Ce3 Ho12 S24'
_space_group_name_H-M_alt 'R 3 m'
_space_group_IT_number 160
_space_group_name_Hall 'R 3 -2"'
_cell_length_a 7.9783
_cell_length_b 7.9783
_cell_length_c 19.9832
_cell_angle_alpha 90.00
_cell_angle_beta 90.00
_cell_angle_gamma 120.00
loop_
_atom_site_label
_atom_site_type_symbol
_atom_site_fract_x
_atom_site_fract_y
_atom_site_fract_z
_atom_site_occupancy
Li1 Li 0.0000 0.0000 0.0000 1
Ce1 Ce 0.0000 0.0000 0.6279 1
Ho1 Ho 0.0000 0.0000 0.2512 1
Ho2 Ho 0.1728 0.3457 0.4564 1
S1 S 0.0000 0.0000 0.3832 1
S2 S 0.0000 0.0000 0.8670 1
S3 S 0.0141 0.5071 0.3795 1
S4 S 0.1745 0.3490 0.2020 1
```

Properties
Raw formation energy = -1933.9 meV per atom
Total magnetic moment = 3.0 μB per cell
Crystal system = trigonal
V = 1101.6 Å³/cell

---

Density functional theory data (PBE-GGA) for an optimized crystal structure of Mg2BF2.

Cell and atoms, written as CIF:
```
data_Mg2BF2
_chemical_formula_sum 'Mg4 B2 F4'
_space_group_name_H-M_alt 'I 4/m m m'
_space_group_IT_number 139
_space_group_name_Hall '-I 4 2'
_cell_length_a 3.3654
_cell_length_b 3.3654
_cell_length_c 11.1060
_cell_angle_alpha 90.00
_cell_angle_beta 90.00
_cell_angle_gamma 90.00
loop_
_atom_site_label
_atom_site_type_symbol
_atom_site_fract_x
_atom_site_fract_y
_atom_site_fract_z
_atom_site_occupancy
Mg1 Mg 0.0000 0.0000 0.1397 1
B1 B 0.0000 0.0000 0.5000 1
F1 F 0.0000 0.5000 0.2500 1
```

Properties
Raw formation energy = -1373.8 meV per atom
Total magnetic moment = 1.5 μB per cell
Crystal system = tetragonal
V = 125.8 Å³/cell

---

Density functional theory data (PBE-GGA) for an optimized crystal structure of NaFe3Se.

Cell and atoms, written as CIF:
```
data_NaFe3Se
_chemical_formula_sum 'Na1 Fe3 Se1'
_space_group_name_H-M_alt 'P m -3 m'
_space_group_IT_number 221
_space_group_name_Hall '-P 4 2 3'
_cell_length_a 4.5058
_cell_length_b 4.5058
_cell_length_c 4.5058
_cell_angle_alpha 90.00
_cell_angle_beta 90.00
_cell_angle_gamma 90.00
loop_
_atom_site_label
_atom_site_type_symbol
_atom_site_fract_x
_atom_site_fract_y
_atom_site_fract_z
_atom_site_occupancy
Na1 Na 0.0000 0.0000 0.0000 1
Fe1 Fe 0.0000 0.5000 0.5000 1
Se1 Se 0.5000 0.5000 0.5000 1
```

Properties
Raw formation energy = 635.5 meV per atom
Total magnetic moment = 7.0 μB per cell
Crystal system = cubic
V = 91.5 Å³/cell

---

Density functional theory data (PBE-GGA) for an optimized crystal structure of CaB2OsF.

Cell and atoms, written as CIF:
```
data_CaB2OsF
_chemical_formula_sum 'Ca1 B2 Os1 F1'
_space_group_name_H-M_alt 'P 4/m m m'
_space_group_IT_number 123
_space_group_name_Hall '-P 4 2'
_cell_length_a 4.0246
_cell_length_b 4.0246
_cell_length_c 4.7151
_cell_angle_alpha 90.00
_cell_angle_beta 90.00
_cell_angle_gamma 90.00
loop_
_atom_site_label
_atom_site_type_symbol
_atom_site_fract_x
_atom_site_fract_y
_atom_site_fract_z
_atom_site_occupancy
Ca1 Ca 0.0000 0.0000 0.0000 1
B1 B 0.0000 0.5000 0.5000 1
Os1 Os 0.5000 0.5000 0.5000 1
F1 F 0.5000 0.5000 0.0000 1
```

Properties
Raw formation energy = -308.6 meV per atom
Total magnetic moment = 0.0 μB per cell
Crystal system = tetragonal
V = 76.4 Å³/cell

---

Density functional theory data (PBE-GGA) for an optimized crystal structure of Pm3Er6Tm.

Cell and atoms, written as CIF:
```
data_Pm3Er6Tm
_chemical_formula_sum 'Pm3 Er6 Tm1'
_space_group_name_H-M_alt 'P -1'
_space_group_IT_number 2
_cell_length_a 6.1263
_cell_length_b 6.7108
_cell_length_c 8.1994
_cell_angle_alpha 95.98
_cell_angle_beta 92.39
_cell_angle_gamma 96.52
loop_
_space_group_symop_operation_xyz
'x,y,z'
'-x,-y,-z'
loop_
_atom_site_label
_atom_site_type_symbol
_atom_site_fract_x
_atom_site_fract_y
_atom_site_fract_z
_atom_site_occupancy
Pm1 Pm 0.0000 0.0000 0.0000 1
Pm2 Pm 0.3611 0.2834 0.7970 1
Er1 Er 0.0516 0.4251 0.2833 1
Er2 Er 0.2310 0.9383 0.4300 1
Er3 Er 0.4556 0.8165 0.8310 1
Tm1 Tm 0.5000 0.5000 0.5000 1
```

Properties
Energy of formation from the pure elements = 252 meV/atom
Total magnetic moment = 0.0 μB per cell
Crystal system = triclinic
V = 332.6 Å³/cell

---

Density functional theory data (PBE-GGA) for an optimized crystal structure of LiLa2As2.

Cell and atoms, written as CIF:
```
data_LiLa2As2
_chemical_formula_sum 'Li2 La4 As4'
_space_group_name_H-M_alt 'P 4/m b m'
_space_group_IT_number 127
_space_group_name_Hall '-P 4 2ab'
_cell_length_a 8.3748
_cell_length_b 8.3748
_cell_length_c 3.8373
_cell_angle_alpha 90.00
_cell_angle_beta 90.00
_cell_angle_gamma 90.00
loop_
_atom_site_label
_atom_site_type_symbol
_atom_site_fract_x
_atom_site_fract_y
_atom_site_fract_z
_atom_site_occupancy
Li1 Li 0.0000 0.0000 0.0000 1
La1 La 0.1415 0.3585 0.0000 1
As1 As 0.1632 0.6632 0.5000 1
```

Properties
Energy of formation from the pure elements = -889 meV/atom
Total magnetic moment = 0.0 μB per cell
Crystal system = tetragonal
V = 269.1 Å³/cell